VASP calculation (PBE-GGA) on a relaxed Ho3AlP2Rh9 crystal.

It has space group P-3m1 (No. 164), with a = 6.2120 Å, b = 6.2120 Å, c = 7.9510 Å, α = 90.00°, β = 90.00° and γ = 120.00°. The asymmetric unit holds Ho at (0.0000, 0.0000, 0.0000), Ho at (0.3333, 0.6667, 0.6537), Al at (0.0000, 0.0000, 0.5000), P at (0.3333, 0.6667, 0.1633), Rh at (0.0000, 0.5000, 0.0000) and Rh at (0.1676, 0.3352, 0.3199).

The total energy is -6.9500 eV/atom. The value obtained for the spin magnetization is 0.0 Bohr magnetons per cell. Its formation energy is -653 meV per atom.

VASP calculation (PBE-GGA) on a relaxed Ho3PaN4 crystal.

It has space group Cmmm (No. 65), with a = 6.926 Å, b = 9.747 Å, c = 3.476 Å, α = 90.00°, β = 90.00° and γ = 90.00°. The asymmetric unit holds Ho at (0.000, 0.000, 0.000), Ho at (0.250, 0.250, 0.500), Pa at (0.000, 0.500, 0.000), N at (0.000, 0.258, 0.000) and N at (0.244, 0.500, 0.500).

The calculation puts the formation energy (no corrections) at -13.823 eV per formula unit. The total energy is -8.7942 eV/atom. The value obtained for the spin magnetization is 0.0 Bohr magnetons per cell.

VASP calculation (PBE-GGA) on a relaxed PmY6Er2Th3 crystal.

It has space group C2/m (No. 12), with a = 6.198 Å, b = 10.736 Å, c = 11.772 Å, α = 90.00°, β = 100.14° and γ = 90.00°. The asymmetric unit holds Pm at (0.000, 0.000, 0.000), Y at (0.248, 0.333, 0.746), Y at (0.249, 0.000, 0.746), Er at (0.000, 0.333, 0.000), Th at (0.000, 0.166, 0.500) and Th at (0.000, 0.500, 0.500).

The total energy is -6.2180 eV/atom. The value obtained for the spin magnetization is 0.0 Bohr magnetons per cell. Its formation energy is 25 meV per atom.